Record 1
First-principles (PBEsol) data for an optimized crystal structure of IrPt2Br, as listed in Alexandria via LeMat-Bulk.

Properties
Density of states at the Fermi level in states/eV/f.u.: 3.96
Distance to the lowest polymorph of the same formula in meV per atom: 68
SG: No. 35

Cell: 2.7564 2.8347 9.4043 Å, 90.00 90.00 119.09°
Last column: nearest neighbours and their distance in Å.
Fractional positions:
Ir  0.5000  0.0000  0.7532  2 Br 2.63, 2 Pt 2.64, 6 Ir 2.76-2.83
Br  0.0000  0.0000  0.5145  2 Ir 2.63, 6 Br 2.76-2.83, 2 Pt 2.92
Pt  0.0000  0.0000  0.9921  2 Ir 2.64, 8 Pt 2.71-2.83
Pt  0.5000  0.0000  0.2402  8 Pt 2.71-2.83, 2 Br 2.92



Record 2
First-principles (PBEsol) data for an optimized crystal structure of PbCClO2, as listed in Alexandria via LeMat-Bulk.

Properties
Density of states at the Fermi level in states/eV/f.u.: 0.00
SG: No. 12
Raw total energy in eV/atom: -6.410

Cell: 4.1426 4.1426 9.3667 Å, 85.96 85.96 89.88°
Last column: nearest neighbours and their distance in Å.
Fractional positions:
C  0.6320  0.3680  0.5000  2 O 1.27
C  0.3680  0.6320  0.5000  2 O 1.27
Cl  0.7290  0.7290  0.1144  5 Pb 3.01-3.18, 4 O 3.23-3.36
Cl  0.2710  0.2710  0.8856  5 Pb 3.01-3.18, 4 O 3.23-3.36
O  0.6740  0.2109  0.3892  1 C 1.27
O  0.7891  0.3260  0.6108  1 C 1.27
O  0.3260  0.7891  0.6108  1 C 1.27
O  0.2109  0.6740  0.3892  1 C 1.27
Pb  0.2277  0.2277  0.2212  4 O 2.51-2.69
Pb  0.7723  0.7723  0.7788  4 O 2.51-2.69



Record 3
First-principles (PBEsol) data for an optimized crystal structure of CuTc2F, as listed in Alexandria via LeMat-Bulk.

Properties
Density of states at the Fermi level in states/eV/f.u.: 4.00
SG: No. 225
Raw total energy in eV/atom: -6.693

Cell: 4.0867 4.0867 4.0867 Å, 60.00 60.00 60.00°
Last column: nearest neighbours and their distance in Å.
Fractional positions:
Tc  0.2500  0.2500  0.2500  4 F 2.50, 4 Cu 2.50
Tc  0.7500  0.7500  0.7500  4 Cu 2.50, 4 F 2.50
Cu  0.5000  0.5000  0.5000  8 Tc 2.50
F  0.0000  0.0000  0.0000  8 Tc 2.50



Record 4
First-principles (PBEsol) data for an optimized crystal structure of FeMoRh2, as listed in Alexandria via LeMat-Bulk.

Properties
Density of states at the Fermi level in states/eV/f.u.: 3.20
Distance to the lowest polymorph of the same formula in meV per atom: 0
SG: No. 139

Cell: 3.7783 3.7783 4.5797 Å, 114.36 114.36 90.00°
Last column: nearest neighbours and their distance in Å.
Fractional positions:
Mo  0.5000  0.5000  0.0000  8 Rh 2.65, 4 Fe 2.67
Rh  0.7500  0.2500  0.5000  4 Fe 2.65, 4 Mo 2.65, 4 Rh 2.67
Rh  0.2500  0.7500  0.5000  4 Fe 2.65, 4 Mo 2.65, 4 Rh 2.67
Fe  0.0000  0.0000  0.0000  8 Rh 2.65, 4 Mo 2.67